Entry 1:
A PBEsol-optimized structure of Mg2MoOs. Source: Alexandria, functional SCAN.

Cell lengths 2.7097, 2.7097, 9.2332 Å; angles 90.00, 90.00, 111.22 degrees
Sites, in units of the cell vectors:
Mg 0.0000 0.0000 0.2402
Mg 0.0000 0.0000 0.7598
Mo 0.5000 0.5000 0.5000
Os 0.5000 0.5000 0.0000

Computed properties:
electronic total energy: -28.88 eV per atom
DFT formation energy: 29 kJ per mole of atoms
energy above the most stable polymorph in this dataset: 1.24 eV per formula unit

---

Entry 2:
A PBEsol-optimized structure of Mg2MoOs. Source: Alexandria, functional SCAN.

Cell lengths 2.6818, 4.5659, 5.2833 Å; angles 90.00, 103.41, 90.00 degrees
Sites, in units of the cell vectors:
Mg 0.7758 0.0000 0.7461
Mg 0.2242 0.0000 0.2539
Mo 0.5000 0.5000 0.0000
Os 0.0000 0.5000 0.5000

Computed properties:
electronic total energy: -28.95 eV per atom
DFT formation energy: 22 kJ per mole of atoms
energy above the most stable polymorph in this dataset: 0.95 eV per formula unit

---

Entry 3:
A PBEsol-optimized structure of Mg2MoOs. Source: Alexandria, functional SCAN.

Cell lengths 3.0615, 3.0615, 7.2224 Å; angles 90.00, 90.00, 90.00 degrees
Sites, in units of the cell vectors:
Mo 0.0000 0.0000 0.5336
Os 0.5000 0.5000 0.7259
Mg 0.0000 0.0000 0.9685
Mg 0.5000 0.5000 0.2720

Computed properties:
electronic total energy: -29.19 eV per atom
DFT formation energy: -1 kJ per mole of atoms
energy above the most stable polymorph in this dataset: 0.00 eV per formula unit

---

| no. | ρ (g/cm³) |
| --- | --- |
| 1 | 8.8 |
| 2 | 8.8 |
| 3 | 8.2 |